{
  "formula": "BaGa4Cu2",
  "functional": "PBE-GGA",
  "state": "optimized geometry",
  "cell": [[2.239, -7.092, 0.000], [2.239, 7.092, 0.000], [0.000, 0.000, 4.454]],
  "species": ["Ba", "Ga", "Ga", "Ga", "Ga", "Cu", "Cu"],
  "fractional_positions": [[0.000, 0.000, 0.000], [0.183, 0.817, 0.500], [0.312, 0.688, 0.000], [0.688, 0.312, 0.000], [0.817, 0.183, 0.500], [0.403, 0.597, 0.500], [0.597, 0.403, 0.500]],
  "total_energy_ev_per_atom": -3.37,
  "e_form_ev_per_fu": -1.37,
  "n_ef_per_ev_fu": 1.579,
  "de_polymorph_ev_per_atom": 0.000
}